No. 1
A plane-wave DFT calculation with PBE-GGA was carried out for a relaxed ZnCl crystal.

Computed properties:
Total DFT energy (no corrections) ... -0.1667 Ry/atom
Formation energy (no corrections) ... -0.707 eV per atom
Crystal system ... orthorhombic
V ... 30.32 Å³/atom

POSCAR file:
```
ZnCl
1.0
-2.4570 -0.0643 -3.1334
-6.2741 -20.8661 5.3482
-7.9887 3.9867 6.1825
Zn Cl
16 16
Direct
0.2500 0.7500 0.6419 Zn
0.7500 0.7500 0.1419 Zn
0.5000 0.0000 0.8919 Zn
0.2500 0.2500 0.1419 Zn
0.2500 0.2500 0.3581 Zn
0.5000 0.5000 0.6081 Zn
0.0000 0.5000 0.1081 Zn
0.5000 0.0000 0.1081 Zn
0.5000 0.5000 0.3919 Zn
0.0000 0.0000 0.6081 Zn
0.2500 0.7500 0.8581 Zn
0.0000 0.0000 0.3919 Zn
0.7500 0.2500 0.8581 Zn
0.7500 0.2500 0.6419 Zn
0.7500 0.7500 0.3581 Zn
0.0000 0.5000 0.8919 Zn
0.2500 0.4341 0.7500 Cl
0.5000 0.6841 0.0000 Cl
0.0000 0.3159 0.5000 Cl
0.7500 0.5659 0.7500 Cl
0.5000 0.1841 0.5000 Cl
0.0000 0.6841 0.5000 Cl
0.7500 0.0659 0.2500 Cl
0.0000 0.8159 0.0000 Cl
0.5000 0.8159 0.5000 Cl
0.7500 0.9341 0.7500 Cl
0.2500 0.5659 0.2500 Cl
0.2500 0.9341 0.2500 Cl
0.7500 0.4341 0.2500 Cl
0.5000 0.3159 0.0000 Cl
0.2500 0.0659 0.7500 Cl
0.0000 0.1841 0.0000 Cl
```

***

No. 2
A plane-wave DFT calculation with PBE-GGA was carried out for a relaxed ZnCl crystal.

Computed properties:
Total DFT energy (no corrections) ... -0.1553 Ry/atom
Formation energy (no corrections) ... -0.553 eV per atom
Crystal system ... trigonal
V ... 22.75 Å³/atom

POSCAR file:
```
ZnCl
1.0
3.4579 0.0000 0.0000
-1.7289 2.9946 0.0000
0.0000 0.0000 8.7863
Cl Zn
2 2
Direct
0.0000 0.0000 0.9124 Cl
0.6667 0.3333 0.3376 Cl
0.0000 0.0000 0.5065 Zn
0.6667 0.3333 0.7435 Zn
```

***

No. 3
A plane-wave DFT calculation with PBE-GGA was carried out for a relaxed Zn2Cl crystal.

Computed properties:
Distance to the lowest polymorph of the same formula ... 0.277 eV per atom
Total DFT energy (no corrections) ... -0.1088 Ry/atom
Formation energy (no corrections) ... -0.016 eV per atom
Crystal system ... orthorhombic
V ... 24.12 Å³/atom

POSCAR file:
```
Zn2Cl
1.0
-0.5980 0.8501 3.1234
-4.3868 -4.0891 0.2731
4.8190 -5.0170 2.2880
Zn Cl
4 2
Direct
0.5000 0.4994 0.8318 Zn
0.5000 0.5006 0.1682 Zn
0.0000 0.9994 0.6682 Zn
0.0000 0.0006 0.3318 Zn
0.5000 0.5000 0.5000 Cl
0.0000 0.0000 0.0000 Cl
```

***

No. 4
A plane-wave DFT calculation with PBE-GGA was carried out for a relaxed ZnCl crystal.

Computed properties:
Total DFT energy (no corrections) ... -0.1300 Ry/atom
Formation energy (no corrections) ... -0.209 eV per atom
Crystal system ... hexagonal
V ... 24.90 Å³/atom

POSCAR file:
```
ZnCl
1.0
-3.6239 0.5930 0.5015
1.1836 -1.7960 -3.0182
-0.6258 -7.2815 4.0875
Cl Zn
2 2
Direct
0.6667 0.3333 0.8825 Cl
0.3333 0.6667 0.3825 Cl
0.3333 0.6667 0.6995 Zn
0.6667 0.3333 0.1995 Zn
```

***

No. 5
A plane-wave DFT calculation with PBE-GGA was carried out for a relaxed ZnCl crystal.

Computed properties:
Total DFT energy (no corrections) ... -0.1317 Ry/atom
Formation energy (no corrections) ... -0.231 eV per atom
Crystal system ... tetragonal
V ... 25.09 Å³/atom

POSCAR file:
```
ZnCl
1.0
7.6408 0.1561 0.0000
5.7079 5.0818 0.0000
-6.6743 -2.6189 2.6457
Cl Zn
2 2
Direct
0.0000 0.0000 0.0000 Cl
0.2500 0.7500 0.5000 Cl
0.5000 0.5000 0.0000 Zn
0.7500 0.2500 0.5000 Zn
```

***

No. 6
A plane-wave DFT calculation with PBE-GGA was carried out for a relaxed Zn3Cl crystal.

Computed properties:
Distance to the lowest polymorph of the same formula ... 0.189 eV per atom
Total DFT energy (no corrections) ... -0.1017 Ry/atom
Formation energy (no corrections) ... 0.033 eV per atom
Crystal system ... hexagonal
V ... 20.97 Å³/atom

POSCAR file:
```
Zn3Cl
1.0
-6.1516 -2.8144 1.3148
3.9135 -2.4962 -5.0937
1.7471 -2.5971 2.6150
Zn Cl
6 2
Direct
0.1408 0.8592 0.7500 Zn
0.7184 0.8592 0.7500 Zn
0.1408 0.2816 0.7500 Zn
0.8592 0.7184 0.2500 Zn
0.8592 0.1408 0.2500 Zn
0.2816 0.1408 0.2500 Zn
0.6667 0.3333 0.7500 Cl
0.3333 0.6667 0.2500 Cl
```